Record 1
A relaxed Li2BeCd crystal, computed with PBE.

extended XYZ file:
```
4
Lattice="4.2783 0.0000 0.0000 0.0000 4.2783 0.0000 0.0000 0.0000 3.2353" Properties=species:S:1:pos:R:3 pbc="T T T"
Li 0.0000 2.1391 0.0000
Li 2.1391 0.0000 0.0000
Be 0.0000 0.0000 1.6177
Cd 2.1391 2.1391 1.6177
```

Output
SG: No. 123
Fermi-level density of states: 0.263 states/eV per atom
E_tot: -7.98 eV/cell
energy of formation from the pure elements: 2.82 kcal/mol of atoms

---

Record 2
A relaxed Li2BeCd crystal, computed with PBE.

extended XYZ file:
```
4
Lattice="2.6969 0.0000 0.0000 0.0000 4.2513 0.0000 -1.1057 0.0000 5.2888" Properties=species:S:1:pos:R:3 pbc="T T T"
Li 0.0000 0.0000 0.0000
Li -0.3879 2.1256 3.9763
Be 1.7947 2.1256 1.2851
Cd 0.7339 0.0000 2.5285
```

Output
SG: No. 6
Fermi-level density of states: 0.233 states/eV per atom
E_tot: -8.06 eV/cell
energy of formation from the pure elements: 2.38 kcal/mol of atoms